No. 1
# HoZrMn4 PBE relaxed
# Formation enthalpy at 0 K = -0.018 eV/atom
data_HoZrMn4
_chemical_formula_sum 'Ho4 Zr4 Mn16'
_cell_length_a 7.106
_cell_length_b 7.106
_cell_length_c 7.106
_cell_angle_alpha 90.00
_cell_angle_beta 90.00
_cell_angle_gamma 90.00
_symmetry_space_group_name_H-M 'F -4 3 m'
_symmetry_Int_Tables_number 216
_symmetry_space_group_name_Hall 'F -4 2 3'
loop_
_atom_site_label
_atom_site_type_symbol
_atom_site_fract_x
_atom_site_fract_y
_atom_site_fract_z
_atom_site_occupancy
Ho1 Ho 0.000 0.000 0.000 1
Zr1 Zr 0.250 0.250 0.250 1
Mn1 Mn 0.125 0.125 0.625 1



No. 2
# HoZrMn17 PBE relaxed
# Formation enthalpy at 0 K = -0.019 eV/atom
data_HoZrMn17
_chemical_formula_sum 'Ho3 Zr3 Mn51'
_cell_length_a 8.5580
_cell_length_b 8.5580
_cell_length_c 11.5562
_cell_angle_alpha 90.00
_cell_angle_beta 90.00
_cell_angle_gamma 120.00
_symmetry_space_group_name_H-M 'R 3 m'
_symmetry_Int_Tables_number 160
_symmetry_space_group_name_Hall 'R 3 -2"'
loop_
_atom_site_label
_atom_site_type_symbol
_atom_site_fract_x
_atom_site_fract_y
_atom_site_fract_z
_atom_site_occupancy
Ho1 Ho 0.0000 0.0000 0.0000 1
Zr1 Zr 0.0000 0.0000 0.2892 1
Mn1 Mn 0.0000 0.0000 0.5431 1
Mn2 Mn 0.0000 0.0000 0.7442 1
Mn3 Mn 0.0004 0.5002 0.1449 1
Mn4 Mn 0.0080 0.5040 0.5088 1
Mn5 Mn 0.0577 0.3896 0.3114 1
Mn6 Mn 0.1731 0.3463 0.1145 1



No. 3
# HoMo2 PBE relaxed
# Formation enthalpy at 0 K = 0.149 eV/atom
data_HoMo2
_chemical_formula_sum 'Ho2 Mo4'
_cell_length_a 3.277
_cell_length_b 3.277
_cell_length_c 10.832
_cell_angle_alpha 90.00
_cell_angle_beta 90.00
_cell_angle_gamma 90.00
_symmetry_space_group_name_H-M 'I 4/m m m'
_symmetry_Int_Tables_number 139
_symmetry_space_group_name_Hall '-I 4 2'
loop_
_atom_site_label
_atom_site_type_symbol
_atom_site_fract_x
_atom_site_fract_y
_atom_site_fract_z
_atom_site_occupancy
Ho1 Ho 0.000 0.000 0.000 1
Mo1 Mo 0.000 0.000 0.310 1